Li2AlHg | PBE | optimized geometry

Calculated values
Its density of states at the Fermi level is 1.6 states/eV/f.u. The calculation puts the energy relative to the elements at -0.121 eV/atom. Its symmetry is R-3m (166). As for the volume: 75.0 Å³ per cell.

a b c (Å): 9.3794 9.3794 9.3794
angles (deg): 18.81 18.81 18.81
Fractional coordinates of all 4 atoms:
Al 0.2500 0.2500 0.2500
Hg 0.7500 0.7500 0.7500
Li 0.9977 0.9977 0.9977
Li 0.5023 0.5023 0.5023